PBE with a Hubbard U MoO2F4, relaxed; crystal system = triclinic; energy = -4.51 eV per atom; calculated density = 3.3 g/cm3; SG = P-1
1.0
3.432 -0.001 -0.576
-0.198 3.319 -1.186
-0.258 -0.023 9.043
Mo O F
1 2 4
direct
0.000 0.000 0.000 Mo
0.267 0.201 0.534 O
0.733 0.799 0.466 O
0.070 0.621 0.140 F
0.930 0.379 0.860 F
0.429 0.879 0.859 F
0.571 0.121 0.141 F